1.
DFT (PBE-GGA) results for a relaxed ScRe2TcSn crystal.

Lattice parameters (Å, degrees): 4.5486 4.5486 4.9975 90.00 90.00 90.00
Closest atoms and distances in Å follow each position.
Positions (direct):
Sc 0.0000 0.0000 0.0000  4 Re 2.27, 2 Sn 2.50
Re 0.0000 0.5000 0.0000  2 Sc 2.27
Re 0.5000 0.0000 0.0000  2 Sc 2.27
Tc 0.5000 0.5000 0.5000  4 Sn 3.22, 8 Re 3.38
Sn 0.0000 0.0000 0.5000  2 Sc 2.50

Summary:
- raw total energy (eV/cell) = -33.736

***

2.
DFT (PBE-GGA) results for a relaxed ZrScReSn2 crystal.

Lattice parameters (Å, degrees): 5.1378 5.1378 4.9579 90.00 90.00 90.00
Closest atoms and distances in Å follow each position.
Positions (direct):
Zr 0.0000 0.0000 0.0000  8 Sn 3.57, 4 Sc 3.63
Sc 0.5000 0.5000 0.0000  2 Re 2.48
Re 0.5000 0.5000 0.5000  2 Sc 2.48, 4 Sn 2.57
Sn 0.0000 0.5000 0.5000  2 Re 2.57
Sn 0.5000 0.0000 0.5000  2 Re 2.57

Summary:
- raw total energy (eV/cell) = -32.385

***

3.
DFT (PBE-GGA) results for a relaxed Sr2ScRe crystal.

Lattice parameters (Å, degrees): 6.0493 6.0493 6.0493 135.63 135.63 64.55
Closest atoms and distances in Å follow each position.
Positions (direct):
Sr 0.2500 0.7500 0.5000  4 Sr 3.23, 4 Re 3.43, 4 Sc 3.43
Sr 0.7500 0.2500 0.5000  4 Sr 3.23, 4 Re 3.43, 4 Sc 3.43
Sc 0.0000 0.0000 0.0000  4 Re 3.23, 8 Sr 3.43
Re 0.5000 0.5000 0.0000  4 Sc 3.23, 8 Sr 3.43

Summary:
- raw total energy (eV/cell) = -18.492
- excess energy over the best structure of this formula in the dataset (eV per atom) = 0.502

***

4.
DFT (PBE-GGA) results for a relaxed Sr2ScRe crystal.

Lattice parameters (Å, degrees): 11.5477 11.5477 11.5477 16.92 16.92 16.92
Closest atoms and distances in Å follow each position.
Positions (direct):
Sr 0.2377 0.2377 0.2377  3 Re 3.12, 6 Sr 3.40
Sr 0.7623 0.7623 0.7623  3 Re 3.12, 6 Sr 3.40
Sc 0.0000 0.0000 0.0000  6 Sc 3.40
Re 0.5000 0.5000 0.5000  6 Sr 3.12, 6 Re 3.40

Summary:
- raw total energy (eV/cell) = -17.917
- excess energy over the best structure of this formula in the dataset (eV per atom) = 0.646

***

5.
DFT (PBE-GGA) results for a relaxed SrSc2Re crystal.

Lattice parameters (Å, degrees): 6.6236 6.6236 6.6236 40.49 40.49 40.49
Closest atoms and distances in Å follow each position.
Positions (direct):
Sr 0.0000 0.0000 0.0000  7 Sc 3.50-3.66, 4 Re 3.55-3.65
Sc 0.5407 0.5407 0.5407  3 Re 2.66
Sc 0.7988 0.7988 0.7988  3 Re 2.88, 3 Sc 2.98
Re 0.1951 0.1951 0.1951  6 Sc 2.66-2.88

Summary:
- raw total energy (eV/cell) = -25.491
- excess energy over the best structure of this formula in the dataset (eV per atom) = 0.222

***

6.
DFT (PBE-GGA) results for a relaxed SrScRe2 crystal.

Lattice parameters (Å, degrees): 3.0451 4.3934 6.7771 90.00 90.10 90.00
Closest atoms and distances in Å follow each position.
Positions (direct):
Sr 0.0000 0.0000 0.0000  2 Sr 3.05, 2 Sc 3.39
Sc 0.0000 0.0000 0.5000  8 Re 2.90-2.91, 2 Sc 3.05
Re 0.4988 0.5000 0.6689  1 Re 2.29
Re 0.5012 0.5000 0.3311  1 Re 2.29

Summary:
- raw total energy (eV/cell) = -30.735
- excess energy over the best structure of this formula in the dataset (eV per atom) = 0.280

***

7.
DFT (PBE-GGA) results for a relaxed Sr2ScRe crystal.

Lattice parameters (Å, degrees): 4.1485 4.1485 6.4699 90.00 90.00 90.00
Closest atoms and distances in Å follow each position.
Positions (direct):
Sr 0.0000 0.0000 0.2277  1 Sr 2.95, 4 Re 3.28
Sr 0.0000 0.0000 0.7723  1 Sr 2.95, 4 Re 3.28
Sc 0.5000 0.5000 0.5000  2 Re 3.23, 8 Sr 3.42
Re 0.5000 0.5000 0.0000  2 Sc 3.23, 8 Sr 3.28

Summary:
- raw total energy (eV/cell) = -17.984
- excess energy over the best structure of this formula in the dataset (eV per atom) = 0.629

***

8.
DFT (PBE-GGA) results for a relaxed Sr2ScRe crystal.

Lattice parameters (Å, degrees): 6.8612 6.8612 6.8612 150.59 128.72 60.22
Closest atoms and distances in Å follow each position.
Positions (direct):
Sr 0.0000 0.0000 0.0000  2 Re 3.13, 2 Sr 3.48
Sr 0.6922 0.1922 0.5000  4 Re 3.46, 4 Sr 3.48-3.74, 2 Sc 3.70
Sc 0.3787 0.3787 0.0000  2 Re 2.57
Re 0.2191 0.7191 0.5000  2 Sc 2.57

Summary:
- raw total energy (eV/cell) = -19.782
- excess energy over the best structure of this formula in the dataset (eV per atom) = 0.180

***

9.
DFT (PBE-GGA) results for a relaxed SrScRe2 crystal.

Lattice parameters (Å, degrees): 5.3736 5.3736 2.7994 90.00 90.00 90.00
Closest atoms and distances in Å follow each position.
Positions (direct):
Sr 0.0000 0.0000 0.0000  2 Sr 2.80, 8 Re 3.03
Sc 0.5000 0.5000 0.0000  2 Sc 2.80, 8 Re 3.03
Re 0.0000 0.5000 0.5000  2 Re 2.80, 4 Sc 3.03, 4 Sr 3.03
Re 0.5000 0.0000 0.5000  2 Re 2.80, 4 Sc 3.03, 4 Sr 3.03

Summary:
- raw total energy (eV/cell) = -28.758
- excess energy over the best structure of this formula in the dataset (eV per atom) = 0.774

***

10.
DFT (PBE-GGA) results for a relaxed SrScRe2 crystal.

Lattice parameters (Å, degrees): 5.7109 5.7109 5.7109 147.24 130.55 60.59
Closest atoms and distances in Å follow each position.
Positions (direct):
Sr 0.0000 0.0000 0.0000  4 Sc 2.88, 4 Re 3.03, 2 Sr 3.22
Sc 0.5000 0.5000 0.0000  4 Re 2.86, 4 Sr 2.88
Re 0.2607 0.7607 0.5000  2 Sc 2.86, 4 Re 2.89, 2 Sr 3.03
Re 0.7393 0.2393 0.5000  2 Sc 2.86, 4 Re 2.89, 2 Sr 3.03

Summary:
- raw total energy (eV/cell) = -29.485
- excess energy over the best structure of this formula in the dataset (eV per atom) = 0.592

***

11.
DFT (PBE-GGA) results for a relaxed SrSc2Re crystal.

Lattice parameters (Å, degrees): 3.1212 3.1212 10.3703 90.00 90.00 107.90
Closest atoms and distances in Å follow each position.
Positions (direct):
Sr 0.0000 0.0000 0.0000  2 Re 3.06, 4 Sr 3.12
Sc 0.0000 0.0000 0.4209  2 Re 2.66
Sc 0.5000 0.5000 0.6826  6 Sc 3.12-3.28
Re 0.5000 0.5000 0.2356  2 Sc 2.66

Summary:
- raw total energy (eV/cell) = -24.590
- excess energy over the best structure of this formula in the dataset (eV per atom) = 0.447

***

12.
DFT (PBE-GGA) results for a relaxed Sr2ScRe crystal.

Lattice parameters (Å, degrees): 3.1664 5.2183 6.4306 90.00 90.00 90.00
Closest atoms and distances in Å follow each position.
Positions (direct):
Sr 0.0000 0.0000 0.2329  3 Sr 3.00-3.17
Sr 0.0000 0.0000 0.7671  3 Sr 3.00-3.17
Sc 0.5000 0.5000 0.5000  2 Sc 3.17, 2 Re 3.22, 8 Sr 3.50
Re 0.5000 0.5000 0.0000  2 Re 3.17, 2 Sc 3.22, 8 Sr 3.40

Summary:
- raw total energy (eV/cell) = -18.248
- excess energy over the best structure of this formula in the dataset (eV per atom) = 0.563

***

13.
DFT (PBE-GGA) results for a relaxed SrScRe2 crystal.

Lattice parameters (Å, degrees): 2.8432 2.8432 9.8109 90.00 90.00 106.99
Closest atoms and distances in Å follow each position.
Positions (direct):
Sr 0.0000 0.0000 0.0000  4 Sr 2.84, 4 Re 3.17
Sc 0.0000 0.0000 0.5000  4 Re 2.80, 4 Sc 2.84
Re 0.5000 0.5000 0.2730  2 Sc 2.80, 4 Re 2.84
Re 0.5000 0.5000 0.7270  2 Sc 2.80, 4 Re 2.84

Summary:
- raw total energy (eV/cell) = -30.158
- excess energy over the best structure of this formula in the dataset (eV per atom) = 0.424

***

14.
DFT (PBE-GGA) results for a relaxed SrScRe crystal.

Lattice parameters (Å, degrees): 5.0676 5.0676 3.0428 90.00 90.00 120.00
Closest atoms and distances in Å follow each position.
Positions (direct):
Sr 0.0000 0.0000 0.0000  2 Sr 3.04, 6 Sc 3.30, 6 Re 3.30
Sc 0.3333 0.6667 0.5015  3 Re 2.93, 2 Sc 3.04
Re 0.6667 0.3333 0.4989  3 Sc 2.93, 2 Re 3.04

Summary:
- raw total energy (eV/cell) = -18.233
- excess energy over the best structure of this formula in the dataset (eV per atom) = 0.230

***

15.
DFT (PBE-GGA) results for a relaxed Sr2ScRe crystal.

Lattice parameters (Å, degrees): 5.3772 5.3772 5.3772 60.00 60.00 60.00
Closest atoms and distances in Å follow each position.
Positions (direct):
Sr 0.2500 0.2500 0.2500  4 Re 3.29, 4 Sc 3.29
Sr 0.7500 0.7500 0.7500  4 Re 3.29, 4 Sc 3.29
Sc 0.0000 0.0000 0.0000  8 Sr 3.29
Re 0.5000 0.5000 0.5000  8 Sr 3.29

Summary:
- raw total energy (eV/cell) = -17.929
- excess energy over the best structure of this formula in the dataset (eV per atom) = 0.643